# Li2TiCr2O6

Li2TiCr2O6 after structural relaxation (GGA+U, the Alexandria database).

Summary:
Total DFT energy (no corrections)   -7.39 eV per atom

Cell: 8.934 5.151 10.184 Å, 90.00 90.00 90.00°
Space group Cmce (No. 64)
Inequivalent atoms, fractional coordinates:
Li1 0.250 0.108 0.250 x8
Ti1 0.000 0.000 0.000 x4
Cr1 0.164 0.000 0.500 x8
O1 0.000 0.177 0.598 x8
O2 0.169 0.161 0.894 x16